Entry 1:
The following is a DFT calculation (GGA-PBE) of crystalline BaIn2SnIr2 at its relaxed geometry.

Geometry as CIF:
```
data_BaIn2SnIr2
_symmetry_space_group_name_H-M 'P 4/m m m'
_symmetry_Int_Tables_number 123
_symmetry_space_group_name_Hall '-P 4 2'
_cell_length_a 5.0057
_cell_length_b 5.0057
_cell_length_c 6.4680
_cell_angle_alpha 90.00
_cell_angle_beta 90.00
_cell_angle_gamma 90.00
loop_
_atom_site_label
_atom_site_type_symbol
_atom_site_fract_x
_atom_site_fract_y
_atom_site_fract_z
Ba1 Ba 0.0000 0.0000 0.0000
In1 In 0.5000 0.5000 0.2614
Sn1 Sn 0.0000 0.0000 0.5000
Ir1 Ir 0.0000 0.5000 0.5000
```

As for the spin magnetization: 0.000 μB/cell. For the formation enthalpy at 0 K, the calculation gives -0.011 eV per atom.

Entry 2:
The following is a DFT calculation (GGA-PBE) of crystalline BaIn2SnIr at its relaxed geometry.

Geometry as CIF:
```
data_BaIn2SnIr
_symmetry_space_group_name_H-M 'P 4/m m m'
_symmetry_Int_Tables_number 123
_symmetry_space_group_name_Hall '-P 4 2'
_cell_length_a 5.4284
_cell_length_b 5.4284
_cell_length_c 6.7037
_cell_angle_alpha 90.00
_cell_angle_beta 90.00
_cell_angle_gamma 90.00
loop_
_atom_site_label
_atom_site_type_symbol
_atom_site_fract_x
_atom_site_fract_y
_atom_site_fract_z
Ba1 Ba 0.0000 0.0000 0.0000
In1 In 0.0000 0.5000 0.5000
Sn1 Sn 0.0000 0.0000 0.5000
Ir1 Ir 0.5000 0.5000 0.0000
```

As for the spin magnetization: 0.931 μB/cell. The value obtained for the energy above the lowest structure with this stoichiometry is 1190.5 meV per atom. For the formation enthalpy at 0 K, the calculation gives 0.947 eV per atom.

| no. | final energy (eV/atom) |
| --- | --- |
| 1 | -4.87 |
| 2 | -3.11 |